First-principles (SCAN) data for a PBEsol-optimized structure of NdSi2Rh3, as listed in the Alexandria database.

Cell and atoms, written as POSCAR:
```
NdSi2Rh3
1.0
3.6522 0.0000 0.0000
0.0000 5.5077 0.0000
0.0000 -2.7539 4.7698
Si Rh Nd
2 3 1
Direct
0.0000 0.3333 0.6667
0.0000 0.6667 0.3333
0.5000 0.0000 0.5000
0.5000 0.5000 0.0000
0.5000 0.5000 0.5000
0.0000 0.0000 0.0000
```

Polymorph energy (0 for the lowest one) = 39 meV/atom
Total energy = -28.633 eV/atom
ΔE_f (raw) = -663 kJ/mol of formula units
V = 15.99 A^3/atom
Calculated density = 8.81 g cm⁻³
SG = P6/mmm

First-principles (SCAN) data for a PBEsol-optimized structure of NdSi2Rh3, as listed in the Alexandria database.

Cell and atoms, written as POSCAR:
```
NdSi2Rh3
1.0
5.5394 0.0000 0.0000
2.7697 5.9881 -0.0315
2.7697 1.7648 5.7222
Si Rh Nd
4 6 2
Direct
0.7230 0.0791 0.0791
0.6187 0.5791 0.5791
0.3813 0.4209 0.4209
0.2770 0.9209 0.9209
0.5000 0.0000 0.5000
0.5000 0.2168 0.7832
0.0000 0.7168 0.2832
0.5000 0.5000 0.0000
0.5000 0.7832 0.2168
0.0000 0.2832 0.7168
0.9636 0.7500 0.7500
0.0364 0.2500 0.2500
```

Polymorph energy (0 for the lowest one) = 0 meV/atom
Total energy = -28.672 eV/atom
ΔE_f (raw) = -686 kJ/mol of formula units
V = 15.84 A^3/atom
Calculated density = 8.89 g cm⁻³
SG = Imma

First-principles (SCAN) data for a PBEsol-optimized structure of NdSi3Rh, as listed in the Alexandria database.

Cell and atoms, written as POSCAR:
```
NdSi3Rh
1.0
4.1987 0.0000 0.0000
0.0000 4.1987 0.0000
-2.0994 -2.0994 4.8690
Nd Si Rh
1 3 1
Direct
0.0011 0.0011 0.0021
0.5870 0.5870 0.1740
0.7378 0.2378 0.4755
0.2378 0.7378 0.4755
0.3468 0.3468 0.6936
```

Total energy = -22.348 eV/atom
ΔE_f (raw) = -419 kJ/mol of formula units
V = 17.17 A^3/atom
Calculated density = 6.41 g cm⁻³
SG = I4mm

First-principles (SCAN) data for a PBEsol-optimized structure of Nd3Sn13Rh4, as listed in the Alexandria database.

Cell and atoms, written as POSCAR:
```
Nd3Sn13Rh4
1.0
-3.5148 -6.4894 -6.2161
8.9369 -1.8263 -3.1467
0.9397 -6.9035 6.6757
Sn Nd Rh
26 6 8
Direct
0.5000 0.3469 0.1928
0.6928 0.8469 0.0000
0.8469 0.0000 0.6928
0.5000 0.5000 0.5000
0.1531 0.0000 0.3072
0.3469 0.1928 0.5000
0.6531 0.1928 0.5000
0.0000 0.6928 0.8469
0.3072 0.1531 0.0000
0.5000 0.3469 0.8072
0.0000 0.3072 0.8469
0.8072 0.5000 0.3469
0.6928 0.1531 0.0000
0.1531 0.0000 0.6928
0.0000 0.3072 0.1531
0.0000 0.6928 0.1531
0.1928 0.5000 0.6531
0.5000 0.6531 0.1928
0.3469 0.8072 0.5000
0.0000 0.0000 0.0000
0.8072 0.5000 0.6531
0.5000 0.6531 0.8072
0.1928 0.5000 0.3469
0.8469 0.0000 0.3072
0.6531 0.8072 0.5000
0.3072 0.8469 0.0000
0.7500 0.5000 0.0000
0.5000 0.0000 0.2500
0.2500 0.5000 0.0000
0.5000 0.0000 0.7500
0.0000 0.7500 0.5000
0.0000 0.2500 0.5000
0.2500 0.7500 0.2500
0.7500 0.2500 0.2500
0.2500 0.2500 0.7500
0.2500 0.2500 0.2500
0.2500 0.7500 0.7500
0.7500 0.7500 0.2500
0.7500 0.7500 0.7500
0.7500 0.2500 0.7500
```

Total energy = -37.269 eV/atom
V = 22.46 A^3/atom
Energy relative to the elements = -0.628 eV per atom
Calculated density = 8.83 g cm⁻³
SG = Pm-3n

First-principles (SCAN) data for a PBEsol-optimized structure of NdRu2, as listed in the Alexandria database.

Cell and atoms, written as POSCAR:
```
NdRu2
1.0
5.2614 0.0000 0.0000
-2.6307 4.5565 0.0000
0.0000 0.0000 8.9725
Nd Ru
4 8
Direct
0.6667 0.3333 0.9338
0.3333 0.6667 0.0662
0.6667 0.3333 0.5662
0.3333 0.6667 0.4338
0.8312 0.1688 0.2500
0.0000 0.0000 0.0000
0.1688 0.3376 0.7500
0.8312 0.6624 0.2500
0.0000 0.0000 0.5000
0.1688 0.8312 0.7500
0.6624 0.8312 0.7500
0.3376 0.1688 0.2500
```

Total energy = -37.949 eV/atom
V = 17.93 A^3/atom
Energy relative to the elements = -0.204 eV per atom
Calculated density = 10.70 g cm⁻³
SG = P6_3/mmc

First-principles (SCAN) data for a PBEsol-optimized structure of NdRu2, as listed in the Alexandria database.

Cell and atoms, written as POSCAR:
```
NdRu2
1.0
5.3421 0.0000 0.0000
2.6710 4.6264 0.0000
2.6710 1.5421 4.3618
Ru Nd
4 2
Direct
0.6250 0.1250 0.6250
0.1250 0.6250 0.6250
0.6250 0.6250 0.6250
0.6250 0.6250 0.1250
0.0000 0.0000 0.0000
0.2500 0.2500 0.2500
```

Total energy = -37.921 eV/atom
V = 17.97 A^3/atom
Energy relative to the elements = -0.176 eV per atom
Calculated density = 10.67 g cm⁻³
SG = Fd-3m

First-principles (SCAN) data for a PBEsol-optimized structure of Nd5Ru2, as listed in the Alexandria database.

Cell and atoms, written as POSCAR:
```
Nd5Ru2
1.0
-6.3917 -0.6623 -0.7896
1.1349 -3.4558 -6.2878
3.2929 -6.2351 5.1170
Ru Nd
4 10
Direct
0.8216 0.0741 0.2224
0.1784 0.9259 0.7776
0.5992 0.4259 0.7776
0.4008 0.5741 0.2224
0.2050 0.9143 0.1852
0.2058 0.1889 0.5661
0.6397 0.3111 0.4339
0.7950 0.0857 0.8148
0.5787 0.7500 0.0000
0.3603 0.6889 0.5661
0.0198 0.5857 0.8148
0.4213 0.2500 0.0000
0.7942 0.8111 0.4339
0.9802 0.4143 0.1852
```

Total energy = -41.361 eV/atom
V = 26.98 A^3/atom
Energy relative to the elements = -0.280 eV per atom
Calculated density = 8.12 g cm⁻³
SG = C2/c

First-principles (SCAN) data for a PBEsol-optimized structure of Nd20Si9Ru3, as listed in the Alexandria database.

Cell and atoms, written as POSCAR:
```
Nd20Si9Ru3
1.0
-4.1071 -5.9857 2.7784
4.9291 -0.5106 5.9883
-7.6018 8.4550 6.9781
Si Nd Ru
9 20 3
Direct
0.4990 0.0005 0.2504
0.9995 0.5010 0.7496
0.1228 0.8772 0.5000
0.8850 0.8860 0.0000
0.4990 0.0005 0.7496
0.3823 0.3879 0.5000
0.9995 0.5010 0.2504
0.1140 0.1150 0.0000
0.6121 0.6177 0.5000
0.8155 0.1845 0.8587
0.3266 0.6734 0.6514
0.6696 0.6643 0.8590
0.6817 0.3183 0.3578
0.3357 0.3304 0.1410
0.5011 0.0038 0.5000
0.1765 0.8235 0.1482
0.9962 0.4989 0.5000
0.1678 0.1710 0.3542
0.1765 0.8235 0.8518
0.4964 0.9915 0.0000
0.8290 0.8322 0.6458
0.3266 0.6734 0.3486
0.0085 0.5036 0.0000
0.8290 0.8322 0.3542
0.6696 0.6643 0.1410
0.8155 0.1845 0.1413
0.6817 0.3183 0.6422
0.3357 0.3304 0.8590
0.1678 0.1710 0.6458
0.3690 0.6310 0.0000
0.8871 0.1129 0.5000
0.6233 0.3767 0.0000
```

Total energy = -33.861 eV/atom
ΔE_f (raw) = -1667 kJ/mol of formula units
V = 25.19 A^3/atom
Calculated density = 7.09 g cm⁻³
SG = Amm2

First-principles (SCAN) data for a PBEsol-optimized structure of NdSi3Ru, as listed in the Alexandria database.

Cell and atoms, written as POSCAR:
```
NdSi3Ru
1.0
4.1792 0.0000 0.0000
0.0000 4.1792 0.0000
-2.0896 -2.0896 4.9396
Si Ru Nd
3 1 1
Direct
0.5811 0.5811 0.1622
0.2389 0.7389 0.4779
0.7389 0.2389 0.4779
0.3454 0.3454 0.6909
0.0016 0.0016 0.0032
```

Total energy = -22.419 eV/atom
ΔE_f (raw) = -351 kJ/mol of formula units
V = 17.25 A^3/atom
Calculated density = 6.34 g cm⁻³
SG = I4mm

First-principles (SCAN) data for a PBEsol-optimized structure of NdSn3Ru, as listed in the Alexandria database.

Cell and atoms, written as POSCAR:
```
NdSn3Ru
1.0
9.6537 0.0000 0.0000
0.0000 9.6537 0.0000
0.0000 0.0000 9.6537
Nd Sn Ru
8 24 8
Direct
0.5000 0.5000 0.5000
0.5000 0.7500 0.0000
0.2500 0.0000 0.5000
0.0000 0.5000 0.7500
0.7500 0.0000 0.5000
0.0000 0.0000 0.0000
0.5000 0.2500 0.0000
0.0000 0.5000 0.2500
0.3444 0.5000 0.8146
0.6854 0.0000 0.1556
0.6556 0.5000 0.1854
0.5000 0.8146 0.3444
0.1556 0.6854 0.0000
0.3146 0.0000 0.1556
0.0000 0.1556 0.6854
0.0000 0.1556 0.3146
0.6556 0.5000 0.8146
0.5000 0.1854 0.6556
0.5000 0.8146 0.6556
0.0000 0.8444 0.3146
0.8444 0.6854 0.0000
0.8444 0.3146 0.0000
0.0000 0.8444 0.6854
0.8146 0.6556 0.5000
0.1854 0.6556 0.5000
0.3444 0.5000 0.1854
0.1556 0.3146 0.0000
0.1854 0.3444 0.5000
0.5000 0.1854 0.3444
0.6854 0.0000 0.8444
0.8146 0.3444 0.5000
0.3146 0.0000 0.8444
0.2500 0.7500 0.2500
0.7500 0.2500 0.2500
0.7500 0.2500 0.7500
0.7500 0.7500 0.7500
0.2500 0.2500 0.2500
0.7500 0.7500 0.2500
0.2500 0.7500 0.7500
0.2500 0.2500 0.7500
```

Total energy = -37.802 eV/atom
V = 22.49 A^3/atom
Energy relative to the elements = -0.568 eV per atom
Calculated density = 8.88 g cm⁻³
SG = Pm-3n

First-principles (SCAN) data for a PBEsol-optimized structure of Nd2S3, as listed in the Alexandria database.

Cell and atoms, written as POSCAR:
```
Nd2S3
1.0
4.0096 0.0000 0.0000
0.0000 7.3862 0.0000
0.0000 0.0000 15.4278
Nd S
8 12
Direct
0.2500 0.7646 0.5439
0.7500 0.7354 0.0439
0.7500 0.8564 0.7956
0.2500 0.1436 0.2044
0.7500 0.2354 0.4561
0.7500 0.3564 0.7044
0.2500 0.2646 0.9561
0.2500 0.6436 0.2956
0.7500 0.1264 0.0674
0.7500 0.8555 0.2191
0.2500 0.6445 0.7191
0.7500 0.3555 0.2809
0.7500 0.9932 0.6101
0.7500 0.4932 0.8899
0.2500 0.5068 0.1101
0.2500 0.8736 0.9326
0.2500 0.0068 0.3899
0.2500 0.3736 0.5674
0.7500 0.6264 0.4326
0.2500 0.1445 0.7809
```

Total energy = -25.587 eV/atom
ΔE_f (raw) = -1147 kJ/mol of formula units
V = 22.85 A^3/atom
Calculated density = 5.59 g cm⁻³
SG = Pnma

First-principles (SCAN) data for a PBEsol-optimized structure of Nd2S3, as listed in the Alexandria database.

Cell and atoms, written as POSCAR:
```
Nd2S3
1.0
8.4575 0.0000 0.0000
0.0000 8.4575 0.0000
-4.2287 -4.2287 12.6636
S Nd
24 16
Direct
0.9714 0.7173 0.7926
0.0965 0.6846 0.0311
0.6535 0.9035 0.9689
0.4288 0.0327 0.7074
0.6443 0.3920 0.6349
0.9906 0.2429 0.6349
0.6420 0.3943 0.1349
0.3154 0.0654 0.4689
0.2786 0.6746 0.7074
0.9246 0.0286 0.2074
0.2827 0.1788 0.2074
0.9346 0.3465 0.0311
0.9346 0.8465 0.5311
0.1535 0.4035 0.4689
0.9673 0.7214 0.2926
0.3154 0.0654 0.9689
0.5965 0.6846 0.5311
0.4929 0.7406 0.1349
0.6057 0.5071 0.8651
0.8212 0.0754 0.7926
0.2594 0.3580 0.8651
0.7571 0.3557 0.3651
0.6080 0.0094 0.3651
0.3254 0.5712 0.2926
0.6534 0.0324 0.5792
0.5839 0.0839 0.1678
0.2446 0.8750 0.2500
0.0054 0.3750 0.2500
0.5966 0.2033 0.9208
0.7967 0.6757 0.0792
0.9161 0.4161 0.8322
0.6661 0.6661 0.3322
0.9257 0.5467 0.5792
0.9676 0.0743 0.4208
0.3243 0.7176 0.9208
0.6250 0.7554 0.7500
0.4533 0.3466 0.4208
0.1250 0.9946 0.7500
0.2824 0.4034 0.0792
0.3339 0.3339 0.6678
```

Total energy = -25.564 eV/atom
ΔE_f (raw) = -1136 kJ/mol of formula units
V = 22.65 A^3/atom
Calculated density = 5.64 g cm⁻³
SG = I-42d

First-principles (SCAN) data for a PBEsol-optimized structure of Nd2SiS5, as listed in the Alexandria database.

Cell and atoms, written as POSCAR:
```
Nd2SiS5
1.0
-4.1038 -5.3328 -3.1561
5.0428 -4.1765 4.0260
-7.6507 0.1339 9.7218
S Nd Si
20 8 4
Direct
0.1407 0.9999 0.1205
0.1407 0.4999 0.3795
0.8290 0.6173 0.0271
0.8755 0.8050 0.2953
0.5296 0.0483 0.7309
0.5770 0.2178 0.9958
0.8593 0.5001 0.6205
0.8593 0.0001 0.8795
0.1245 0.1950 0.7047
0.1710 0.8827 0.5271
0.5296 0.5483 0.7691
0.4704 0.4517 0.2309
0.5770 0.7178 0.5042
0.8290 0.1173 0.4729
0.1245 0.6950 0.7953
0.4230 0.7822 0.0042
0.8755 0.3050 0.2047
0.1710 0.3827 0.9729
0.4230 0.2822 0.4958
0.4704 0.9517 0.2691
0.8385 0.3664 0.8347
0.2384 0.0406 0.9047
0.1615 0.1336 0.3347
0.2384 0.5406 0.5953
0.1615 0.6336 0.1653
0.7616 0.9594 0.0953
0.8385 0.8664 0.6653
0.7616 0.4594 0.4047
0.6676 0.9070 0.3833
0.3324 0.5930 0.8833
0.3324 0.0930 0.6167
0.6676 0.4070 0.1167
```

Total energy = -19.969 eV/atom
ΔE_f (raw) = -1392 kJ/mol of formula units
V = 21.66 A^3/atom
Calculated density = 4.57 g cm⁻³
SG = P2_1/c

First-principles (SCAN) data for a PBEsol-optimized structure of Nd4Si3S12, as listed in the Alexandria database.

Cell and atoms, written as POSCAR:
```
Nd4Si3S12
1.0
-2.9310 -7.1577 -1.2919
7.0149 1.5515 -8.6454
5.0135 -0.9962 10.0116
S Si Nd
24 6 8
Direct
0.6818 0.0690 0.4646
0.2172 0.5354 0.6044
0.1252 0.8110 0.8135
0.8844 0.9695 0.6833
0.8143 0.1890 0.0025
0.3812 0.7252 0.4598
0.6560 0.7346 0.2748
0.8117 0.9975 0.1865
0.1128 0.9310 0.3956
0.9214 0.5402 0.2654
0.8812 0.4598 0.7252
0.4148 0.0305 0.7138
0.9148 0.7138 0.0305
0.1560 0.2748 0.7346
0.1818 0.4646 0.0690
0.6252 0.8135 0.8110
0.2011 0.3167 0.2862
0.6128 0.3956 0.9310
0.7011 0.2862 0.3167
0.3143 0.0025 0.1890
0.7172 0.6044 0.5354
0.3117 0.1865 0.9975
0.3844 0.6833 0.9695
0.4214 0.2654 0.5402
0.1484 0.6149 0.7867
0.0335 0.3851 0.1719
0.5335 0.1719 0.3851
0.3616 0.2132 0.8281
0.8616 0.8281 0.2132
0.6484 0.7867 0.6149
0.5263 0.4620 0.2366
0.0012 0.0000 0.0000
0.5012 0.0000 0.0000
0.2897 0.7634 0.2254
0.0263 0.2366 0.4620
0.7897 0.2254 0.7634
0.5644 0.5380 0.7746
0.0644 0.7746 0.5380
```

Total energy = -18.481 eV/atom
ΔE_f (raw) = -3013 kJ/mol of formula units
V = 21.36 A^3/atom
Calculated density = 4.28 g cm⁻³
SG = R3c

First-principles (SCAN) data for a PBEsol-optimized structure of Nd2SmS4, as listed in the Alexandria database.

Cell and atoms, written as POSCAR:
```
Nd2SmS4
1.0
7.2868 0.0179 0.0000
-2.4056 6.8783 0.0000
-2.4406 -3.4481 5.9374
S Nd Sm
8 4 2
Direct
0.5266 0.7784 0.8996
0.7234 0.1230 0.7518
0.8788 0.6270 0.1004
0.8770 0.6288 0.6004
0.3730 0.4734 0.2518
0.0284 0.2766 0.3996
0.3712 0.9716 0.2482
0.2216 0.1212 0.7482
0.6250 0.2536 0.1286
0.1250 0.4964 0.8714
0.7464 0.8750 0.3714
0.5036 0.3750 0.6286
0.0000 0.0000 0.0000
0.2500 0.7500 0.5000
```

Total energy = -26.606 eV/atom
ΔE_f (raw) = -1556 kJ/mol of formula units
V = 21.27 A^3/atom
Calculated density = 6.32 g cm⁻³
SG = I-42d